No. 1
Entry from Alexandria: a relaxed Tl2VZn crystal (GGA-PBE).

Geometry as POSCAR:
```
Tl2VZn
1.0
0.0000 3.5054 3.5054
3.5054 0.0000 3.5054
3.5054 3.5054 0.0000
V Tl Zn
1 2 1
direct
0.0000 0.0000 0.0000
0.2500 0.2500 0.2500
0.7500 0.7500 0.7500
0.5000 0.5000 0.5000
```

Summary:
crystal system	cubic
relative energy among the computed polymorphs	0	meV/atom
symmetry	Fm-3m

---

No. 2
Entry from Alexandria: a relaxed Cs3Pr3TiO8 crystal (GGA-PBE).

Geometry as POSCAR:
```
Cs3Pr3TiO8
1.0
-5.3990 -4.6512 0.0571
3.7297 1.2035 5.9522
-5.0960 5.8874 -2.2669
Cs O Pr Ti
3 8 3 1
direct
0.5000 0.5000 0.0000
0.0000 0.5000 0.0000
0.0000 0.0000 0.0000
0.7639 0.9590 0.6540
0.2361 0.0410 0.3460
0.8049 0.0410 0.3460
0.1952 0.3903 0.6540
0.2767 0.5534 0.3303
0.8048 0.6097 0.3460
0.7233 0.4466 0.6697
0.1951 0.9590 0.6540
0.0000 0.5000 0.5000
0.5000 0.0000 0.5000
0.5000 0.5000 0.5000
0.0000 0.0000 0.5000
```

Summary:
crystal system	trigonal
ΔE_f (raw)	-2.570	eV per atom
symmetry	R-3m

---

The E results, record by record, are as follows: -3.26, -6.87 eV per atom.